# 1
First-principles (GGA-PBE) data for a relaxed structure of Ce3Pm2Ru2, as listed in Alexandria via LeMat-Bulk.

Geometry as POSCAR:
```
Ce3Pm2Ru2
1.0
5.887 -1.900 0.000
5.887 1.900 0.000
-3.125 0.000 8.104
Ce Pm Ru
3 2 2
direct
0.000 0.000 0.000
0.121 0.121 0.434
0.879 0.879 0.566
0.338 0.338 0.198
0.662 0.662 0.802
0.371 0.371 0.779
0.629 0.629 0.221
```

## Properties
volume	25.91	Å³/atom
DOS at the Fermi energy	12.39	states/eV per cell
total energy	-6.798	eV per atom
symmetry	C2/m


# 2
First-principles (GGA-PBE) data for a relaxed structure of CePm2Ru2, as listed in Alexandria via LeMat-Bulk.

Geometry as POSCAR:
```
CePm2Ru2
1.0
5.123 -3.005 0.000
5.123 3.005 0.000
-1.489 0.000 7.803
Ce Pm Ru
2 4 4
direct
0.124 0.876 0.750
0.876 0.124 0.250
0.222 0.473 0.348
0.473 0.222 0.848
0.527 0.778 0.152
0.778 0.527 0.652
0.001 0.735 0.986
0.265 0.999 0.514
0.735 0.001 0.486
0.999 0.265 0.014
```

## Properties
volume	24.02	Å³/atom
DOS at the Fermi energy	8.37	states/eV per cell
total energy	-7.129	eV per atom
symmetry	C2/c


# 3
First-principles (GGA-PBE) data for a relaxed structure of CePm3Ru3, as listed in Alexandria via LeMat-Bulk.

Geometry as POSCAR:
```
CePm3Ru3
1.0
4.815 2.780 2.038
-4.815 2.780 2.038
0.000 -5.560 2.038
Ce Pm Ru
1 3 3
direct
0.000 0.000 0.000
0.193 0.599 0.599
0.599 0.193 0.599
0.599 0.599 0.193
0.100 0.100 0.633
0.100 0.633 0.100
0.633 0.100 0.100
```

## Properties
volume	23.39	Å³/atom
DOS at the Fermi energy	4.95	states/eV per cell
total energy	-7.115	eV per atom
symmetry	R3m


# 4
First-principles (GGA-PBE) data for a relaxed structure of CePm3Ru, as listed in Alexandria via LeMat-Bulk.

Geometry as POSCAR:
```
CePm3Ru
1.0
-4.417 4.159 4.265
4.417 -4.159 4.265
4.417 4.159 -4.265
Ce Pm Ru
2 6 2
direct
0.039 0.250 0.289
0.961 0.750 0.711
0.081 0.344 0.837
0.081 0.744 0.237
0.507 0.244 0.163
0.507 0.844 0.763
0.552 0.345 0.707
0.639 0.845 0.293
0.156 0.021 0.635
0.386 0.521 0.365
```

## Properties
volume	31.34	Å³/atom
DOS at the Fermi energy	17.61	states/eV per cell
total energy	-6.039	eV per atom
symmetry	Ima2


# 5
First-principles (GGA-PBE) data for a relaxed structure of Ce2PmRu2, as listed in Alexandria via LeMat-Bulk.

Geometry as POSCAR:
```
Ce2PmRu2
1.0
3.314 -3.070 0.000
3.314 3.070 0.000
-2.858 0.000 5.862
Ce Pm Ru
2 1 2
direct
0.240 0.760 0.000
0.760 0.240 0.000
0.000 0.000 0.500
0.453 0.453 0.281
0.547 0.547 0.719
```

## Properties
volume	23.86	Å³/atom
DOS at the Fermi energy	7.34	states/eV per cell
total energy	-7.199	eV per atom
symmetry	C2/m


# 6
First-principles (GGA-PBE) data for a relaxed structure of Ce3Pm4Ru2, as listed in Alexandria via LeMat-Bulk.

Geometry as POSCAR:
```
Ce3Pm4Ru2
1.0
8.551 -1.880 0.000
8.551 1.880 0.000
-4.015 0.000 7.951
Ce Pm Ru
3 4 2
direct
0.000 0.000 0.000
0.076 0.076 0.685
0.924 0.924 0.315
0.230 0.230 0.147
0.375 0.375 0.619
0.625 0.625 0.381
0.770 0.770 0.853
0.416 0.416 0.101
0.584 0.584 0.899
```

## Properties
volume	28.41	Å³/atom
DOS at the Fermi energy	16.00	states/eV per cell
total energy	-6.323	eV per atom
symmetry	C2/m


volume of number 2 (CePm2Ru2)?
24.02 Å³/atom